An optimized crystal structure of TcIrO2F, computed with PBE.

## Properties
Space-group type = P4/mmm
Uncorrected formation energy = 129.5 meV per atom

Cell lengths 3.853, 3.853, 4.655 Å; angles 90.00, 90.00, 90.00 degrees
Fractional coordinates of all 5 atoms:
Tc 0.000 0.000 0.000
Ir 0.500 0.500 0.500
O 0.000 0.500 0.500
O 0.500 0.000 0.500
F 0.500 0.500 0.000